Entry from the Alexandria database: an optimized crystal structure of PtW3Cl (PBE).

CIF file:
```
data_PtW3Cl
_chemical_formula_sum 'Pt1 W3 Cl1'
_space_group_name_H-M_alt 'P m -3 m'
_space_group_IT_number 221
_space_group_name_Hall '-P 4 2 3'
_cell_length_a 4.369
_cell_length_b 4.369
_cell_length_c 4.369
_cell_angle_alpha 90.00
_cell_angle_beta 90.00
_cell_angle_gamma 90.00
loop_
_atom_site_label
_atom_site_type_symbol
_atom_site_fract_x
_atom_site_fract_y
_atom_site_fract_z
Pt1 Pt 0.000 0.000 0.000
W1 W 0.000 0.500 0.500
Cl1 Cl 0.500 0.500 0.500
```

Density: 15.6 g/cm³
Total DFT energy (no corrections): -39.9 eV/cell
ΔE_f (raw): 1.3764 eV/atom